No. 1
VASP calculation (PBE) on an optimized crystal structure of CrCoIr.

Values from the calculation:
- Final energy: -8.3749 eV/atom
- ΔE to the lowest computed polymorph: 0.2224 eV/atom
- Density: 12.84 g/cm³

Cell lengths 6.1575, 6.1575, 6.1575 Å; angles 37.72, 37.72, 37.72 degrees
Atoms (fractional coordinates):
Cr 0.0665 0.0665 0.0665
Cr 0.9335 0.9335 0.9335
Co 0.3658 0.3658 0.3658
Co 0.6342 0.6342 0.6342
Ir 0.2130 0.2130 0.2130
Ir 0.7870 0.7870 0.7870

***

No. 2
VASP calculation (PBE) on an optimized crystal structure of Cr4CoIr.

Values from the calculation:
- Final energy: -9.0245 eV/atom
- Density: 10.57 g/cm³

Cell lengths 4.6722, 4.6722, 4.6722 Å; angles 60.00, 60.00, 60.00 degrees
Atoms (fractional coordinates):
Cr 0.3773 0.3773 0.3773
Cr 0.3773 0.3773 0.8681
Cr 0.3773 0.8681 0.3773
Cr 0.8681 0.3773 0.3773
Co 0.7500 0.7500 0.7500
Ir 0.0000 0.0000 0.0000

***

No. 3
VASP calculation (PBE) on an optimized crystal structure of Cr2CoIr.

Values from the calculation:
- Final energy: -8.6624 eV/atom
- Density: 11.86 g/cm³

Cell lengths 8.5274, 8.5274, 8.5274 Å; angles 17.64, 17.64, 17.64 degrees
Atoms (fractional coordinates):
Cr 0.0000 0.0000 0.0000
Cr 0.2470 0.2470 0.2470
Co 0.5045 0.5045 0.5045
Ir 0.7490 0.7490 0.7490

***

No. 4
VASP calculation (PBE) on an optimized crystal structure of CrCoIr.

Values from the calculation:
- Final energy: -8.5972 eV/atom
- ΔE to the lowest computed polymorph: 0.0000 eV/atom
- Density: 13.55 g/cm³

Cell lengths 4.4965, 4.4965, 4.4965 Å; angles 145.93, 132.58, 59.67 degrees
Atoms (fractional coordinates):
Cr 0.0000 0.0000 0.0000
Co 0.3380 0.3380 0.0000
Ir 0.6676 0.6676 0.0000

***

No. 5
VASP calculation (PBE) on an optimized crystal structure of CrCoIr.

Values from the calculation:
- Final energy: -8.5469 eV/atom
- ΔE to the lowest computed polymorph: 0.0503 eV/atom
- Density: 13.66 g/cm³

Cell lengths 5.6735, 5.6735, 5.6735 Å; angles 153.29, 153.29, 38.14 degrees
Atoms (fractional coordinates):
Cr 0.0000 0.0000 0.0000
Co 0.3471 0.3471 0.0000
Ir 0.6706 0.6706 0.0000

***

No. 6
VASP calculation (PBE) on an optimized crystal structure of Cr2CoIr.

Values from the calculation:
- Final energy: -8.7069 eV/atom
- Density: 11.84 g/cm³

Cell lengths 4.8440, 4.8440, 4.8440 Å; angles 145.71, 128.11, 63.68 degrees
Atoms (fractional coordinates):
Cr 0.0000 0.0000 0.0000
Cr 0.7850 0.2850 0.5000
Co 0.5375 0.5375 0.0000
Ir 0.2613 0.7613 0.5000